First-principles (GGA-PBE) data for Lu2Hf4S3N3 after structural relaxation, as listed in OQMD via LeMat-Bulk.

The structure in POSCAR format:
```
Lu2Hf4S3N3
1.0
5.036 -2.910 0.000
5.036 2.910 0.000
-3.346 0.000 12.127
Lu Hf S N
4 8 6 6
Cartesian
2.538 2.432 7.333
2.515 2.432 10.857
4.211 -2.432 1.269
4.187 -2.432 4.794
2.512 0.481 1.178
2.522 0.495 4.885
0.839 -0.481 7.242
0.849 -0.495 10.949
5.877 0.495 1.178
5.887 0.481 4.885
4.204 -0.495 7.242
4.214 -0.481 10.949
-0.766 0.522 9.105
0.907 -0.522 3.041
2.527 0.410 9.095
4.199 -0.410 3.032
5.819 0.522 9.086
7.492 -0.522 3.022
0.845 1.455 6.063
4.187 1.442 0.000
4.212 1.442 6.063
2.518 -1.455 0.000
2.514 -1.442 6.063
5.885 -1.442 0.000
```

Calculated values
* M_tot: 0.0 μB/cell
* energy: -212.141 eV per cell
* symmetry: C2/c


First-principles (GGA-PBE) data for LuCoBiAu after structural relaxation, as listed in OQMD via LeMat-Bulk.

The structure in POSCAR format:
```
LuCoBiAu
1.0
6.823 0.000 0.000
0.000 6.823 0.000
0.000 0.000 6.823
Lu Co Bi Au
4 4 4 4
Cartesian
0.000 0.000 0.000
0.000 3.411 3.411
3.411 0.000 3.411
3.411 3.411 0.000
0.000 0.000 3.411
0.000 3.411 0.000
3.411 0.000 0.000
3.411 3.411 3.411
1.706 1.706 1.706
1.706 5.117 5.117
5.117 1.706 5.117
5.117 5.117 1.706
1.706 1.706 5.117
1.706 5.117 1.706
5.117 1.706 1.706
5.117 5.117 5.117
```

Calculated values
* M_tot: 4.0 μB/cell
* energy relative to the lowest polymorph listed for this composition: 31 meV per atom
* symmetry: F-43m


First-principles (GGA-PBE) data for NaPrZn after structural relaxation, as listed in OQMD via LeMat-Bulk.

The structure in POSCAR format:
```
NaPrZn
1.0
7.196 0.000 0.000
0.000 7.196 0.000
0.000 0.000 7.196
Na Pr Zn
4 4 4
Cartesian
0.000 0.000 0.000
0.000 3.598 3.598
3.598 0.000 3.598
3.598 3.598 0.000
1.799 1.799 1.799
1.799 5.397 5.397
5.397 1.799 5.397
5.397 5.397 1.799
0.000 0.000 3.598
0.000 3.598 0.000
3.598 0.000 0.000
3.598 3.598 3.598
```

Calculated values
* M_tot: 0.8 μB/cell
* energy relative to the lowest polymorph listed for this composition: 336 meV per atom
* symmetry: F-43m


First-principles (GGA-PBE) data for SnAu15 after structural relaxation, as listed in OQMD via LeMat-Bulk.

The structure in POSCAR format:
```
SnAu15
1.0
5.058 0.000 0.000
0.000 36.763 0.000
-1.723 0.000 4.758
Sn Au
2 30
Cartesian
-0.431 7.109 1.189
-1.292 29.654 3.568
-1.292 8.635 3.568
-0.431 10.188 1.189
-1.292 11.698 3.568
-0.431 13.188 1.189
-1.292 14.676 3.568
-0.431 16.160 1.189
-1.292 17.641 3.568
-0.431 19.122 1.189
-1.292 20.603 3.568
-0.431 22.087 1.189
-1.292 23.575 3.568
-0.431 25.065 1.189
-1.292 26.576 3.568
-0.431 28.128 1.189
1.237 7.296 3.568
2.098 8.629 1.189
1.237 10.253 3.568
2.098 11.695 1.189
1.237 13.189 3.568
2.098 14.678 1.189
1.237 16.146 3.568
2.098 17.650 1.189
1.237 19.113 3.568
2.098 20.617 1.189
1.237 22.085 3.568
2.098 23.575 1.189
1.237 25.068 3.568
2.098 26.510 1.189
1.237 28.134 3.568
2.098 29.467 1.189
```

Calculated values
* energy relative to the lowest polymorph listed for this composition: 16 meV per atom
* symmetry: P2/c


First-principles (GGA-PBE) data for Zr3Nb2Ga3 after structural relaxation, as listed in OQMD via LeMat-Bulk.

The structure in POSCAR format:
```
Zr3Nb2Ga3
1.0
8.006 0.000 0.000
-4.003 6.933 0.000
0.000 0.000 5.475
Zr Nb Ga
6 4 6
Cartesian
-0.990 1.715 1.369
-3.013 5.219 4.106
1.980 0.000 1.369
0.990 1.715 4.106
6.026 0.000 4.106
3.013 5.219 1.369
0.000 4.622 0.000
0.000 4.622 2.737
4.003 2.311 0.000
4.003 2.311 2.737
-1.589 2.753 4.106
-2.414 4.181 1.369
3.179 0.000 4.106
1.589 2.753 1.369
4.827 0.000 1.369
2.414 4.181 4.106
```

Calculated values
* M_tot: 0.0 μB/cell
* energy: -117.805 eV per cell
* symmetry: P6_3/mcm


First-principles (GGA-PBE) data for TaBeFeSb after structural relaxation, as listed in OQMD via LeMat-Bulk.

The structure in POSCAR format:
```
TaBeFeSb
1.0
6.229 0.000 0.000
0.000 6.229 0.000
0.000 0.000 6.229
Ta Be Fe Sb
4 4 4 4
Cartesian
0.000 0.000 0.000
0.000 3.114 3.114
3.114 0.000 3.114
3.114 3.114 0.000
1.557 1.557 4.672
1.557 4.672 1.557
4.672 1.557 1.557
4.672 4.672 4.672
0.000 0.000 3.114
0.000 3.114 0.000
3.114 0.000 0.000
3.114 3.114 3.114
1.557 1.557 1.557
1.557 4.672 4.672
4.672 1.557 4.672
4.672 4.672 1.557
```

Calculated values
* M_tot: 8.7 μB/cell
* energy relative to the lowest polymorph listed for this composition: 131 meV per atom
* symmetry: F-43m